Below is a geometry-optimized CoCuPt2 structure, with properties calculated at the PBE level. Values from VASP.

Energy (eV per cell): -23.4

Structure (Quantum ESPRESSO input):
```
&SYSTEM
  ibrav = 0, nat = 4, ntyp = 3
/
ATOMIC_SPECIES
Co 58.93 Co.upf
Cu 63.55 Cu.upf
Pt 195.08 Pt.upf
ATOMIC_POSITIONS angstrom
Co -10.2648 7.5073 2.4462
Cu -15.5589 11.3792 3.7079
Pt -0.0983 0.0719 0.0234
Pt -5.0367 3.6836 1.2003
CELL_PARAMETERS angstrom
-6.2980 6.1369 0.6885
-7.8288 3.9212 1.0643
-6.5123 5.0366 3.1658
```

Below is a geometry-optimized PrNiPd structure, with properties calculated at the PBE level. Values from VASP.

Energy (eV per cell): -16.6

Structure (Quantum ESPRESSO input):
```
&SYSTEM
  ibrav = 0, nat = 3, ntyp = 3
/
ATOMIC_SPECIES
Pr 140.91 Pr.upf
Ni 58.69 Ni.upf
Pd 106.42 Pd.upf
ATOMIC_POSITIONS angstrom
Pr 1.7726 1.7726 1.0594
Ni 1.7726 1.7726 4.0511
Pd 0.0000 0.0000 2.8081
CELL_PARAMETERS angstrom
3.5452 0.0000 0.0000
0.0000 3.5452 0.0000
-1.7726 -1.7726 4.6581
```

Calculated DFT formation energy (eV/atom), listed in the same order as above: -0.0403, -0.2707